Compound: ErAl10Ru2
Source: the Alexandria database
Functional: PBE
Structure: optimized geometry

Cell: 9.090 10.220 9.134 Å, 90.00 90.00 90.00°
Space group Cmcm (No. 63)
One atom of each set of equivalent atoms:
1 Er 0.000 0.128 0.250 (multiplicity 4)
2 Al 0.000 0.156 0.600 (multiplicity 8)
3 Al 0.000 0.377 0.048 (multiplicity 8)
4 Al 0.151 0.370 0.750 (multiplicity 8)
5 Al 0.222 0.365 0.250 (multiplicity 8)
6 Al 0.225 0.000 0.000 (multiplicity 8)
7 Ru 0.250 0.250 0.000 (multiplicity 8)

Calculated values
- energy of formation from the pure elements (eV/atom) = -0.51

---

Compound: Ca2TlAg2Pd5
Source: the Alexandria database
Functional: PBE
Structure: optimized geometry

Cell: 9.707 9.707 4.152 Å, 90.00 90.00 90.00°
Space group P4/mbm (No. 127)
One atom of each set of equivalent atoms:
1 Ca 0.172 0.328 0.000 (multiplicity 4)
2 Tl 0.000 0.000 0.000 (multiplicity 2)
3 Ag 0.125 0.625 0.000 (multiplicity 4)
4 Pd 0.000 0.500 0.500 (multiplicity 2)
5 Pd 0.065 0.799 0.500 (multiplicity 8)

Calculated values
- energy of formation from the pure elements (eV/atom) = -0.40